Here is a geometry-optimized K3Au4 structure from the Alexandria database. Energies are from PBE-GGA.

Cell lengths 11.756, 11.756, 11.756 Å; angles 158.84, 158.84, 30.10 degrees
Atoms (fractional coordinates):
1 K 0.000 0.000 0.000
2 K 0.698 0.698 0.000
3 K 0.302 0.302 0.000
4 Au 0.858 0.858 0.000
5 Au 0.142 0.142 0.000
6 Au 0.561 0.561 0.000
7 Au 0.439 0.439 0.000

E = -2.36 eV per atom
ΔE_f = -0.1 eV/f.u.
Relative energy among the computed polymorphs = 303 meV/atom
Spin magnetization = 0.000 μB per atom